#P
First-principles (PBE) data for TeIr3Br after structural relaxation, as listed in the Alexandria database.

## Properties
* Fermi-level density of states: 8.1 states/eV per cell
* symmetry: Pm-3m, No. 221

POSCAR file:
```
TeIr3Br
1.0
4.936 0.000 0.000
0.000 4.936 0.000
0.000 0.000 4.936
Ir Te Br
3 1 1
direct
0.000 0.500 0.000 Ir
0.000 0.000 0.500 Ir
0.500 0.000 0.000 Ir
0.000 0.000 0.000 Te
0.500 0.500 0.500 Br
```

=====

#Q
First-principles (PBE) data for TeIr3Br after structural relaxation, as listed in the Alexandria database.

## Properties
* Fermi-level density of states: 8.2 states/eV per cell
* symmetry: Pm-3m, No. 221

POSCAR file:
```
TeIr3Br
1.0
4.696 0.000 0.000
0.000 4.696 0.000
0.000 0.000 4.696
Ir Te Br
3 1 1
direct
0.000 0.500 0.000 Ir
0.000 0.000 0.500 Ir
0.500 0.000 0.000 Ir
0.500 0.500 0.500 Te
0.000 0.000 0.000 Br
```

=====

Most stable pick: #Q. Distance to second place: 32 meV per atom.

=====

#P
First-principles (PBE) data for Te3IrBr after structural relaxation, as listed in the Alexandria database.

## Properties
* Fermi-level density of states: 7.0 states/eV per cell
* symmetry: Pm-3m, No. 221

POSCAR file:
```
Te3IrBr
1.0
-1.889 -4.228 2.546
2.703 1.395 4.322
-4.130 2.847 1.664
Ir Te Br
1 3 1
direct
0.000 0.000 0.000 Ir
0.000 0.500 0.000 Te
0.000 0.000 0.500 Te
0.500 0.000 0.000 Te
0.500 0.500 0.500 Br
```

=====

#Q
First-principles (PBE) data for Te3IrBr after structural relaxation, as listed in the Alexandria database.

## Properties
* Fermi-level density of states: 6.3 states/eV per cell
* symmetry: Pm-3m, No. 221

POSCAR file:
```
Te3IrBr
1.0
-4.076 1.071 3.432
-3.400 -2.836 -3.153
1.169 -4.512 2.797
Ir Te Br
1 3 1
direct
0.500 0.500 0.500 Ir
0.000 0.500 0.000 Te
0.000 0.000 0.500 Te
0.500 0.000 0.000 Te
0.000 0.000 0.000 Br
```

=====

Most stable pick: #P. Distance to second place: 1281 meV per atom.

=====

#P
First-principles (PBE) data for Ti3IrBr after structural relaxation, as listed in the Alexandria database.

## Properties
* Fermi-level density of states: 6.9 states/eV per cell
* symmetry: Pm-3m, No. 221

POSCAR file:
```
Ti3IrBr
1.0
4.540 0.000 0.000
0.000 4.540 0.000
0.000 0.000 4.540
Ir Br Ti
1 1 3
direct
0.500 0.500 0.500 Ir
0.000 0.000 0.000 Br
0.000 0.500 0.000 Ti
0.000 0.000 0.500 Ti
0.500 0.000 0.000 Ti
```

=====

#Q
First-principles (PBE) data for Ti3IrBr after structural relaxation, as listed in the Alexandria database.

## Properties
* Fermi-level density of states: 3.1 states/eV per cell
* symmetry: Pm-3m, No. 221

POSCAR file:
```
Ti3IrBr
1.0
4.865 0.000 0.000
0.000 4.865 0.000
0.000 0.000 4.865
Ir Br Ti
1 1 3
direct
0.000 0.000 0.000 Ir
0.500 0.500 0.500 Br
0.000 0.500 0.000 Ti
0.000 0.000 0.500 Ti
0.500 0.000 0.000 Ti
```

=====

Most stable pick: #Q. Distance to second place: 319 meV per atom.

=====

#P
First-principles (PBE) data for TiIr2Br after structural relaxation, as listed in the Alexandria database.

## Properties
* Fermi-level density of states: 2.9 states/eV per cell
* symmetry: Fm-3m, No. 225

POSCAR file:
```
TiIr2Br
1.0
1.472 0.105 4.288
1.838 3.793 1.675
-2.241 2.425 3.108
Ir Br Ti
2 1 1
direct
0.250 0.250 0.250 Ir
0.750 0.750 0.750 Ir
0.500 0.500 0.500 Br
0.000 0.000 0.000 Ti
```

=====

#Q
First-principles (PBE) data for TiIr2Br after structural relaxation, as listed in the Alexandria database.

## Properties
* Fermi-level density of states: 5.4 states/eV per cell
* symmetry: I-42d, No. 122

POSCAR file:
```
TiIr2Br
1.0
5.579 0.000 0.000
0.000 5.579 0.000
2.790 2.790 5.828
Ir Br Ti
4 2 2
direct
0.616 0.125 0.250 Ir
0.134 0.625 0.250 Ir
0.375 0.384 0.750 Ir
0.875 0.866 0.750 Ir
0.000 0.000 0.000 Br
0.750 0.250 0.500 Br
0.500 0.500 0.000 Ti
0.250 0.750 0.500 Ti
```

=====

Most stable pick: #P. Distance to second place: 131 meV per atom.

=====

#P
First-principles (PBE) data for Ti2IrBr after structural relaxation, as listed in the Alexandria database.

## Properties
* Fermi-level density of states: 3.8 states/eV per cell
* symmetry: I-42d, No. 122

POSCAR file:
```
Ti2IrBr
1.0
-5.829 2.556 -2.276
-1.454 -5.919 -2.923
-5.184 -2.692 0.215
Ir Br Ti
2 2 4
direct
0.000 0.000 0.000 Ir
0.750 0.250 0.500 Ir
0.500 0.500 0.000 Br
0.250 0.750 0.500 Br
0.639 0.125 0.250 Ti
0.111 0.625 0.250 Ti
0.375 0.361 0.750 Ti
0.875 0.889 0.750 Ti
```

=====

#Q
First-principles (PBE) data for Ti2IrBr after structural relaxation, as listed in the Alexandria database.

## Properties
* Fermi-level density of states: 5.4 states/eV per cell
* symmetry: Fm-3m, No. 225

POSCAR file:
```
Ti2IrBr
1.0
-4.033 -2.004 0.601
-3.807 2.478 -0.112
-2.876 -0.410 -3.493
Ir Br Ti
1 1 2
direct
0.500 0.500 0.500 Ir
0.000 0.000 0.000 Br
0.250 0.250 0.250 Ti
0.750 0.750 0.750 Ti
```

=====

Most stable pick: #Q. Distance to second place: 36 meV per atom.

=====

#P
First-principles (PBE) data for TlIrBr2 after structural relaxation, as listed in the Alexandria database.

## Properties
* Fermi-level density of states: 2.5 states/eV per cell
* symmetry: Imm2, No. 44

POSCAR file:
```
TlIrBr2
1.0
8.925 0.894 -0.313
7.058 5.536 0.313
-7.836 -3.601 2.487
Tl Ir Br
1 1 2
direct
0.317 0.817 0.500 Tl
0.465 0.465 0.000 Ir
0.004 0.004 0.000 Br
0.714 0.214 0.500 Br
```

=====

#Q
First-principles (PBE) data for TlIrBr2 after structural relaxation, as listed in the Alexandria database.

## Properties
* Fermi-level density of states: 1.3 states/eV per cell
* symmetry: C2/m, No. 12

POSCAR file:
```
TlIrBr2
1.0
-2.351 5.340 3.047
-4.630 4.672 0.254
-4.368 -0.892 3.777
Tl Ir Br
1 1 2
direct
0.250 0.250 0.250 Tl
0.750 0.750 0.750 Ir
0.099 0.099 0.900 Br
0.401 0.401 0.600 Br
```

=====

Most stable pick: #Q. Distance to second place: 330 meV per atom.